(1)
# Cr2SbHRh

Cr2SbHRh after structural relaxation (PBE, Alexandria via LeMat-Bulk).

V = 63 Å³ per cell
VASP energy = -34.1 eV/cell

Lattice parameters (Å, degrees): 3.982 3.982 3.950 90.00 90.00 90.00
Fractional positions:
Cr (0.000, 0.500, 0.000)
Cr (0.500, 0.000, 0.000)
Sb (0.000, 0.000, 0.500)
H (0.500, 0.500, 0.000)
Rh (0.500, 0.500, 0.500)

(2)
# AcScHg

AcScHg after structural relaxation (PBE, Alexandria via LeMat-Bulk).

formation enthalpy at 0 K = -309 meV/atom
V = 183 Å³ per cell
VASP energy = -23.3 eV/cell
offset from the most stable computed form = 0.0 meV/atom

Lattice parameters (Å, degrees): 8.541 8.541 8.541 147.13 147.13 47.17
Fractional positions:
Ac (0.179, 0.179, 0.000)
Ac (0.821, 0.821, 0.000)
Sc (0.000, 0.500, 0.500)
Sc (0.500, 0.000, 0.500)
Hg (0.389, 0.389, 0.000)
Hg (0.611, 0.611, 0.000)